First-principles (PBEsol) data for an optimized crystal structure of MgZrTc, as listed in Alexandria.

abc: 6.2776 6.2776 6.2776
angles: 90.00 90.00 90.00
Closest atoms and distances in Å follow each position.
Space group F-43m (No. 216)
Unique sites:
Mg1 0.0000 0.0000 0.0000 x4  4 Tc 2.72
Zr1 0.0000 0.0000 0.5000 x4  4 Tc 2.72
Tc1 0.2500 0.2500 0.2500 x4  4 Zr 2.72, 4 Mg 2.72

Properties
Energy relative to the lowest polymorph listed for this composition in eV per atom: 0.000
Calculated total energy in Ry/atom: -0.5019
Formation energy from the elements in eV per atom: 0.530

First-principles (PBEsol) data for an optimized crystal structure of Mg2ZrTc, as listed in Alexandria.

abc: 2.8520 4.8128 5.4323
angles: 90.00 103.94 90.00
Closest atoms and distances in Å follow each position.
Space group P2/m (No. 10)
Unique sites:
Mg1 0.0875 0.0000 0.2684 x2  4 Mg 2.68-2.85, 2 Tc 2.84
Zr1 0.5000 0.5000 0.0000 x1  2 Tc 2.72, 2 Zr 2.85
Tc1 0.5000 0.5000 0.5000 x1  2 Zr 2.72, 4 Mg 2.84, 2 Tc 2.85

Properties
Energy relative to the lowest polymorph listed for this composition in eV per atom: 0.000
Calculated total energy in Ry/atom: -0.4269
Formation energy from the elements in eV per atom: 0.139

First-principles (PBEsol) data for an optimized crystal structure of MgZr2Tc, as listed in Alexandria.

abc: 3.3113 3.3113 7.0813
angles: 90.00 90.00 90.00
Closest atoms and distances in Å follow each position.
Space group P4/mmm (No. 123)
Unique sites:
Mg1 0.0000 0.0000 0.0000 x1  8 Zr 3.08, 4 Mg 3.31
Zr1 0.5000 0.5000 0.2825 x2  4 Tc 2.80, 4 Mg 3.08, 1 Zr 3.08
Tc1 0.0000 0.0000 0.5000 x1  8 Zr 2.80

Properties
Calculated total energy in Ry/atom: -0.5850
Formation energy from the elements in eV per atom: -0.169

Repeat the third record exactly.
First-principles (PBEsol) data for an optimized crystal structure of MgZr2Tc, as listed in Alexandria.

abc: 3.3113 3.3113 7.0813
angles: 90.00 90.00 90.00
Closest atoms and distances in Å follow each position.
Space group P4/mmm (No. 123)
Unique sites:
Mg1 0.0000 0.0000 0.0000 x1  8 Zr 3.08, 4 Mg 3.31
Zr1 0.5000 0.5000 0.2825 x2  4 Tc 2.80, 4 Mg 3.08, 1 Zr 3.08
Tc1 0.0000 0.0000 0.5000 x1  8 Zr 2.80

Properties
Calculated total energy in Ry/atom: -0.5850
Formation energy from the elements in eV per atom: -0.169

Look up the calculated total energy of the third one.
-0.5850 Ry/atom